! PmNdZr | Alexandria | PBE | optimized geometry; values from VASP
&SYSTEM
  ibrav = 0, nat = 3, ntyp = 3
/
ATOMIC_SPECIES
Zr 91.22 Zr.upf
Pm 145.00 Pm.upf
Nd 144.24 Nd.upf
CELL_PARAMETERS angstrom
-2.7614 -0.6999 -1.9004
-1.1698 -4.2718 3.2730
-2.0475 4.9838 1.1396
ATOMIC_POSITIONS crystal
Zr 0.1672 0.3333 0.6667
Pm 0.1663 0.0000 0.0000
Nd 0.6665 0.6667 0.3333
! - spin magnetization (μB/f.u.) = 0.00
! - total DFT energy (no corrections) (eV per atom) = -5.8327
! - offset from the most stable computed form (meV/atom) = 84
! - space group = P-6m2, No. 187